Here is a geometry-optimized HgOsPb4 structure from the Alexandria database. Energies are from PBE.

```
data_HgOsPb4
_chemical_formula_sum 'Hg4 Os4 Pb16'
_space_group_name_H-M_alt 'F -4 3 m'
_space_group_IT_number 216
_space_group_name_Hall 'F -4 2 3'
_cell_length_a 8.889
_cell_length_b 8.889
_cell_length_c 8.889
_cell_angle_alpha 90.00
_cell_angle_beta 90.00
_cell_angle_gamma 90.00
loop_
_atom_site_label
_atom_site_type_symbol
_atom_site_fract_x
_atom_site_fract_y
_atom_site_fract_z
Hg1 Hg 0.000 0.000 0.000
Os1 Os 0.250 0.250 0.750
Pb1 Pb 0.124 0.124 0.376
```

Volume = 29.26 A^3/atom
Magnetization = 2.1 μB/f.u.
Uncorrected energy = -0.244 Ry per atom